A plane-wave DFT calculation with PBE was carried out for Li2ZnCu after structural relaxation.

POSCAR file:
```
Li2ZnCu
1.0
2.810 0.337 0.000
-0.339 2.810 0.000
0.000 0.000 7.467
Cu Li Zn
1 2 1
Direct
0.500 0.500 0.738 Cu
0.000 0.000 0.967 Li
0.500 0.500 0.272 Li
0.000 0.000 0.522 Zn
```

Output
Magnetization ... 0.00 μB per cell
Space-group type ... P4mm, No. 99
Formation enthalpy at 0 K ... -0.0722 eV per atom